(1)
Sm2Ho2Pt15 | GGA-PBE | relaxed

Space-group type: R-3m (166)
Formation enthalpy at 0 K (eV/atom): -0.730

Cell: 7.101 7.101 7.101 Å, 82.29 82.29 82.29°
Positions (direct):
Sm (0.141, 0.141, 0.141)
Sm (0.859, 0.859, 0.859)
Ho (0.393, 0.393, 0.393)
Ho (0.607, 0.607, 0.607)
Pt (0.000, 0.500, 0.500)
Pt (0.153, 0.153, 0.660)
Pt (0.153, 0.660, 0.153)
Pt (0.188, 0.500, 0.812)
Pt (0.188, 0.812, 0.500)
Pt (0.340, 0.847, 0.847)
Pt (0.500, 0.000, 0.500)
Pt (0.500, 0.188, 0.812)
Pt (0.500, 0.500, 0.000)
Pt (0.500, 0.812, 0.188)
Pt (0.660, 0.153, 0.153)
Pt (0.812, 0.188, 0.500)
Pt (0.812, 0.500, 0.188)
Pt (0.847, 0.340, 0.847)
Pt (0.847, 0.847, 0.340)

=====

(2)
SmHoPt4 | GGA-PBE | relaxed

Space-group type: F-43m (216)
Formation enthalpy at 0 K (eV/atom): -1.108

Cell: 5.456 5.456 5.456 Å, 60.00 60.00 60.00°
Positions (direct):
Sm (0.000, 0.000, 0.000)
Ho (0.750, 0.750, 0.750)
Pt (0.375, 0.375, 0.375)
Pt (0.375, 0.375, 0.874)
Pt (0.375, 0.874, 0.375)
Pt (0.874, 0.375, 0.375)

=====

DOS at the Fermi energy per entry: 17.11; 1.66 states/eV/cell